Run 1
The following is a DFT calculation (GGA-PBE) of a relaxed Mn2ZnAs crystal.

abc: 3.1993 3.1993 5.5619
angles: 90.00 90.00 89.96
Last column: magnetic moment on the atom in μB.
Fractional coordinates of all 4 atoms:
Zn  0.5000  0.5000  0.2500  -0.04
Mn  0.0000  0.0000  0.5099  2.99
Mn  0.0000  0.0000  0.9901  2.99
As  0.5000  0.5000  0.7500  -0.11

Summary:
The calculation puts the volume at 56.9 Å³/cell. The density of states at the Fermi level comes out at 2.88 states/eV/f.u.



Run 2
The following is a DFT calculation (GGA-PBE) of a relaxed Mn2ZnAs crystal.

abc: 4.9298 4.9298 3.6688
angles: 68.14 68.14 43.74
Last column: magnetic moment on the atom in μB.
Fractional coordinates of all 4 atoms:
Mn  0.0000  0.0000  0.9999  3.02
Mn  0.7500  0.7500  0.7502  3.03
Zn  0.5000  0.5000  0.4997  -0.07
As  0.2500  0.2500  0.2502  -0.08

Summary:
The calculation puts the volume at 56.5 Å³/cell. The density of states at the Fermi level comes out at 2.20 states/eV/f.u.



Last place for stability: run 1



Run 1
The following is a DFT calculation (GGA-PBE) of a relaxed ZrMn3As crystal.

abc: 4.7816 4.7816 4.7816
angles: 90.00 90.00 90.00
Last column: magnetic moment on the atom in μB.
Fractional coordinates of all 5 atoms:
Zr  0.0000  0.0000  0.0000  -0.81
Mn  0.0000  0.0000  0.5000  3.04
Mn  0.5000  0.0000  0.0000  3.68
Mn  0.0000  0.5000  0.0000  3.26
As  0.5000  0.5000  0.5000  -0.04

Summary:
The calculation puts the volume at 109.3 Å³/cell. The density of states at the Fermi level comes out at 5.44 states/eV/f.u.



Run 2
The following is a DFT calculation (GGA-PBE) of a relaxed ZrMn3As crystal.

abc: 4.5121 4.5121 4.5121
angles: 90.00 90.00 90.00
Last column: magnetic moment on the atom in μB.
Fractional coordinates of all 5 atoms:
Mn  0.5000  0.0000  0.0000  3.06
Mn  0.0000  0.5000  0.0000  3.20
Mn  0.0000  0.0000  0.5000  3.08
As  0.0000  0.0000  0.0000  -0.10
Zr  0.5000  0.5000  0.5000  -0.86

Summary:
The calculation puts the volume at 91.9 Å³/cell. The density of states at the Fermi level comes out at 2.69 states/eV/f.u.



Last place for stability: run 1



Run 1
The following is a DFT calculation (GGA-PBE) of a relaxed Mo3As crystal.

abc: 3.9637 3.9637 3.9637
angles: 90.00 90.00 90.00
Fractional coordinates of all 4 atoms:
As  0.0000  0.0000  0.0000
Mo  0.5000  0.5000  0.0000
Mo  0.5000  0.0000  0.5000
Mo  0.0000  0.5000  0.5000

Summary:
The calculation puts the volume at 62.3 Å³/cell. The density of states at the Fermi level comes out at 4.40 states/eV/f.u.



Run 2
The following is a DFT calculation (GGA-PBE) of a relaxed Mo3As crystal.

abc: 4.4451 4.4451 4.4451
angles: 60.00 60.00 60.00
Fractional coordinates of all 4 atoms:
Mo  0.7500  0.7500  0.7500
Mo  0.5000  0.5000  0.5000
Mo  0.2500  0.2500  0.2500
As  0.0000  0.0000  0.0000

Summary:
The calculation puts the volume at 62.1 Å³/cell. The density of states at the Fermi level comes out at 3.35 states/eV/f.u.



Run 3
The following is a DFT calculation (GGA-PBE) of a relaxed Mo3As crystal.

abc: 4.1785 2.9785 5.8639
angles: 59.99 90.00 90.00
Fractional coordinates of all 4 atoms:
As  0.0000  0.0000  0.0000
Mo  0.5000  0.7594  0.7528
Mo  0.0000  0.5000  0.5000
Mo  0.5000  0.2406  0.2472

Summary:
The calculation puts the volume at 63.2 Å³/cell. The density of states at the Fermi level comes out at 2.59 states/eV/f.u.



Last place for stability: run 1



Run 1
The following is a DFT calculation (GGA-PBE) of a relaxed Mo3As crystal.

abc: 5.1828 5.1828 5.1828
angles: 116.83 116.83 116.83
Fractional coordinates of all 4 atoms:
Mo  0.5000  0.0000  0.5000
Mo  0.0000  0.5000  0.5000
Mo  0.5000  0.5000  0.0000
As  0.0000  0.0000  0.0000

Summary:
The calculation puts the volume at 63.0 Å³/cell. The density of states at the Fermi level comes out at 3.73 states/eV/f.u.



Run 2
The following is a DFT calculation (GGA-PBE) of a relaxed Mo3As crystal.

abc: 5.4751 5.4751 4.7647
angles: 90.00 90.00 120.00
Fractional coordinates of all 8 atoms:
Mo  0.1666  0.3331  0.7500
Mo  0.6669  0.8334  0.7500
Mo  0.3331  0.1666  0.2500
Mo  0.1666  0.8334  0.7500
Mo  0.8334  0.1666  0.2500
Mo  0.8334  0.6669  0.2500
As  0.6667  0.3333  0.7500
As  0.3333  0.6667  0.2500

Summary:
The calculation puts the volume at 123.7 Å³/cell. The density of states at the Fermi level comes out at 1.99 states/eV/f.u.



Last place for stability: run 1



Run 1
The following is a DFT calculation (GGA-PBE) of a relaxed Mo3As crystal.

abc: 5.2476 5.2476 5.2476
angles: 144.09 132.74 60.75
Fractional coordinates of all 4 atoms:
Mo  0.8358  0.2525  0.5833
Mo  0.5833  0.5000  0.0833
Mo  0.3307  0.7475  0.5833
As  0.0835  0.0000  0.0835

Summary:
The calculation puts the volume at 61.6 Å³/cell. The density of states at the Fermi level comes out at 2.61 states/eV/f.u.



Run 2
The following is a DFT calculation (GGA-PBE) of a relaxed Mo3As crystal.

abc: 3.1861 4.5552 4.3101
angles: 90.00 90.00 90.00
Fractional coordinates of all 4 atoms:
Mo  0.5000  0.0000  0.4772
Mo  0.0000  0.5000  0.3572
Mo  0.5000  0.5000  0.8762
As  0.0000  0.0000  0.9560

Summary:
The calculation puts the volume at 62.6 Å³/cell. The density of states at the Fermi level comes out at 2.61 states/eV/f.u.



Last place for stability: run 2



Run 1
The following is a DFT calculation (GGA-PBE) of a relaxed Mo3As crystal.

abc: 4.9708 4.9708 4.9708
angles: 90.00 90.00 90.00
Fractional coordinates of all 8 atoms:
Mo  0.5000  0.0000  0.2500
Mo  0.2500  0.5000  0.0000
Mo  0.5000  0.0000  0.7500
Mo  0.0000  0.7500  0.5000
Mo  0.7500  0.5000  0.0000
Mo  0.0000  0.2500  0.5000
As  0.0000  0.0000  0.0000
As  0.5000  0.5000  0.5000

Summary:
The calculation puts the volume at 122.8 Å³/cell. The density of states at the Fermi level comes out at 2.58 states/eV/f.u.



Run 2
The following is a DFT calculation (GGA-PBE) of a relaxed Mo3As crystal.

abc: 5.4242 5.4242 9.7852
angles: 90.00 90.00 120.00
Fractional coordinates of all 16 atoms:
Mo  0.0000  0.5000  0.5000
Mo  0.1670  0.3341  0.7500
Mo  0.1670  0.8330  0.7500
Mo  0.5000  0.5000  0.0000
Mo  0.3341  0.1670  0.2500
Mo  0.8330  0.6659  0.2500
Mo  0.5000  0.0000  0.5000
Mo  0.5000  0.0000  0.0000
Mo  0.0000  0.5000  0.0000
Mo  0.8330  0.1670  0.2500
Mo  0.6659  0.8330  0.7500
Mo  0.5000  0.5000  0.5000
As  0.6667  0.3333  0.7500
As  0.0000  0.0000  0.0000
As  0.0000  0.0000  0.5000
As  0.3333  0.6667  0.2500

Summary:
The calculation puts the volume at 249.3 Å³/cell. The density of states at the Fermi level comes out at 2.31 states/eV/f.u.



Run 3
The following is a DFT calculation (GGA-PBE) of a relaxed Mo3As crystal.

abc: 5.3824 5.3824 4.3583
angles: 90.00 90.00 94.88
Fractional coordinates of all 8 atoms:
As  0.6749  0.3251  0.7500
As  0.3251  0.6749  0.2500
Mo  0.1268  0.8732  0.7500
Mo  0.1799  0.3748  0.7500
Mo  0.6252  0.8201  0.7500
Mo  0.8732  0.1268  0.2500
Mo  0.3748  0.1799  0.2500
Mo  0.8201  0.6252  0.2500

Summary:
The calculation puts the volume at 125.8 Å³/cell. The density of states at the Fermi level comes out at 3.12 states/eV/f.u.



Run 4
The following is a DFT calculation (GGA-PBE) of a relaxed Mo3As crystal.

abc: 3.0640 3.0640 7.9124
angles: 90.00 90.00 120.00
Fractional coordinates of all 4 atoms:
Mo  0.0000  0.0000  0.5000
Mo  0.6667  0.3333  0.7629
Mo  0.6667  0.3333  0.2371
As  0.0000  0.0000  0.0000

Summary:
The calculation puts the volume at 64.3 Å³/cell. The density of states at the Fermi level comes out at 2.98 states/eV/f.u.



Last place for stability: run 2



Run 1
The following is a DFT calculation (GGA-PBE) of a relaxed MoAs3 crystal.

abc: 12.0043 12.0043 12.0043
angles: 162.53 162.53 24.80
Fractional coordinates of all 8 atoms:
Mo  0.6717  0.6717  0.0000
Mo  0.3283  0.3283  0.0000
As  0.5000  0.0000  0.5000
As  0.7500  0.2500  0.5000
As  0.8802  0.8802  0.0000
As  0.1198  0.1198  0.0000
As  0.2500  0.7500  0.5000
As  0.0000  0.5000  0.5000

Summary:
The calculation puts the volume at 155.8 Å³/cell. The density of states at the Fermi level comes out at 2.20 states/eV/f.u.



Run 2
The following is a DFT calculation (GGA-PBE) of a relaxed MoAs3 crystal.

abc: 4.8592 4.8592 4.8592
angles: 113.47 113.47 113.47
Fractional coordinates of all 4 atoms:
As  0.5000  0.0000  0.5000
As  0.5000  0.5000  0.0000
As  0.0000  0.0000  0.0000
Mo  0.0000  0.5000  0.5000

Summary:
The calculation puts the volume at 72.4 Å³/cell. The density of states at the Fermi level comes out at 2.67 states/eV/f.u.



Run 3
The following is a DFT calculation (GGA-PBE) of a relaxed MoAs3 crystal.

abc: 4.9011 4.9011 4.9011
angles: 90.00 90.00 90.00
Fractional coordinates of all 4 atoms:
As  0.0000  0.5000  0.0000
As  0.5000  0.0000  0.0000
As  0.0000  0.0000  0.5000
Mo  0.0000  0.0000  0.0000

Summary:
The calculation puts the volume at 117.7 Å³/cell. The density of states at the Fermi level comes out at 5.97 states/eV/f.u.



Run 4
The following is a DFT calculation (GGA-PBE) of a relaxed MoAs3 crystal.

abc: 4.5694 4.5694 4.5694
angles: 60.00 60.00 60.00
Fractional coordinates of all 4 atoms:
As  0.2500  0.2500  0.2500
As  0.5000  0.5000  0.5000
As  0.0000  0.0000  0.0000
Mo  0.7500  0.7500  0.7500

Summary:
The calculation puts the volume at 67.5 Å³/cell. The density of states at the Fermi level comes out at 3.26 states/eV/f.u.



Last place for stability: run 3



Run 1
The following is a DFT calculation (GGA-PBE) of a relaxed MoAs3 crystal.

abc: 3.5741 3.5750 6.7538
angles: 90.00 90.00 90.00
Fractional coordinates of all 4 atoms:
Mo  0.0000  0.5000  0.2744
As  0.5000  0.5000  0.9766
As  0.5000  0.0000  0.4389
As  0.0000  0.0000  0.9768

Summary:
The calculation puts the volume at 86.3 Å³/cell. The density of states at the Fermi level comes out at 2.10 states/eV/f.u.



Run 2
The following is a DFT calculation (GGA-PBE) of a relaxed MoAs3 crystal.

abc: 2.8646 2.8646 9.3717
angles: 90.00 90.00 107.46
Fractional coordinates of all 4 atoms:
Mo  0.5000  0.5000  0.2500
As  0.0000  0.0000  0.0353
As  0.0000  0.0000  0.4647
As  0.5000  0.5000  0.7500

Summary:
The calculation puts the volume at 73.4 Å³/cell. The density of states at the Fermi level comes out at 2.97 states/eV/f.u.



Last place for stability: run 2